# 1
The following is a DFT calculation (PBE) of an optimized crystal structure of RhW2Au.

Lattice parameters (Å, degrees): 7.265 7.265 5.785 51.10 51.10 90.00
Fractional positions:
1 W 0.875 0.840 0.750
2 W 0.375 0.410 0.750
3 W 0.590 0.125 0.250
4 W 0.160 0.625 0.250
5 Au 0.000 0.000 0.000
6 Au 0.750 0.250 0.500
7 Rh 0.500 0.500 0.000
8 Rh 0.250 0.750 0.500

Results
energy of formation = 0.748 eV per atom
symmetry = I-42d
electronic total energy = -67.08 eV per cell
V = 140.4 Å³ per cell
energy relative to the lowest polymorph listed for this composition = 638 meV/atom

---

# 2
The following is a DFT calculation (PBE) of an optimized crystal structure of Ge2B2O.

Lattice parameters (Å, degrees): 6.077 6.077 3.336 90.00 90.00 90.00
Fractional positions:
1 Ge 0.245 0.745 0.000
2 Ge 0.255 0.245 0.000
3 Ge 0.755 0.255 0.000
4 Ge 0.745 0.755 0.000
5 O 0.500 0.500 0.000
6 O 0.000 0.000 0.000
7 B 0.092 0.592 0.500
8 B 0.592 0.908 0.500
9 B 0.908 0.408 0.500
10 B 0.408 0.092 0.500

Results
symmetry = P4/mbm
electronic total energy = -51.46 eV per cell
V = 123.2 Å³ per cell
energy relative to the lowest polymorph listed for this composition = 0 meV/atom
formation energy (no corrections) = 0.36 eV/atom

---

# 3
The following is a DFT calculation (PBE) of an optimized crystal structure of Ac2YPt2I2.

Lattice parameters (Å, degrees): 5.309 5.309 9.508 106.21 106.21 90.00
Fractional positions:
1 Y 0.000 0.000 0.000
2 Ac 0.607 0.607 0.215
3 Ac 0.393 0.393 0.785
4 I 0.808 0.808 0.615
5 I 0.192 0.192 0.385
6 Pt 0.000 0.500 0.000
7 Pt 0.500 0.000 0.000

Results
symmetry = I4/mmm
electronic total energy = -37.37 eV per cell
V = 246.2 Å³ per cell
formation energy (no corrections) = -1.07 eV/atom

---

# 4
The following is a DFT calculation (PBE) of an optimized crystal structure of Y2Zn3Ni2.

Lattice parameters (Å, degrees): 4.213 5.258 6.347 103.56 90.00 113.62
Fractional positions:
1 Ni 0.907 0.815 0.327
2 Ni 0.093 0.185 0.673
3 Y 0.382 0.764 0.653
4 Y 0.618 0.236 0.347
5 Zn 0.709 0.419 0.876
6 Zn 0.291 0.581 0.124
7 Zn 0.000 0.000 0.000

Results
energy of formation = -0.379 eV per atom
symmetry = C2/m
electronic total energy = -30.97 eV per cell
V = 124.5 Å³ per cell
energy relative to the lowest polymorph listed for this composition = 54 meV/atom

---

# 5
The following is a DFT calculation (PBE) of an optimized crystal structure of AlPbSe3.

Lattice parameters (Å, degrees): 3.816 7.401 8.943 96.18 90.00 90.00
Fractional positions:
1 Al 0.750 0.162 0.622
2 Al 0.250 0.838 0.378
3 Se 0.750 0.272 0.914
4 Se 0.750 0.063 0.343
5 Se 0.250 0.728 0.086
6 Se 0.250 0.937 0.657
7 Se 0.750 0.598 0.393
8 Se 0.250 0.402 0.607
9 Pb 0.750 0.651 0.843
10 Pb 0.250 0.349 0.157

Results
symmetry = P2_1/m
electronic total energy = -40.72 eV per cell
V = 251.1 Å³ per cell
energy relative to the lowest polymorph listed for this composition = 0 meV/atom
formation energy (no corrections) = -0.49 eV/atom

---

# 6
The following is a DFT calculation (PBE) of an optimized crystal structure of CuNi.

Lattice parameters (Å, degrees): 3.974 3.974 4.700 90.00 90.00 120.00
Site moments in Bohr magnetons follow the coordinates.
Fractional positions:
1 Cu 0.667 0.333 0.250  0.06
2 Cu 0.333 0.667 0.750  0.06
3 Ni 0.667 0.333 0.750  0.23
4 Ni 0.333 0.667 0.250  0.23

Results
energy of formation = 0.955 eV per atom
symmetry = P6_3/mmc
electronic total energy = -15.93 eV per cell
V = 64.3 Å³ per cell

---

# 7
The following is a DFT calculation (PBE) of an optimized crystal structure of Pr2MgCu.

Lattice parameters (Å, degrees): 3.742 3.742 7.618 90.00 90.00 90.00
Fractional positions:
1 Pr 0.000 0.000 0.774
2 Pr 0.000 0.000 0.226
3 Cu 0.500 0.500 0.000
4 Mg 0.500 0.500 0.500

Results
energy of formation = -0.102 eV per atom
symmetry = P4/mmm
electronic total energy = -15.66 eV per cell
V = 106.7 Å³ per cell
energy relative to the lowest polymorph listed for this composition = 0 meV/atom

---

# 8
The following is a DFT calculation (PBE) of an optimized crystal structure of ZnGePd4.

Lattice parameters (Å, degrees): 2.941 7.152 17.201 90.00 90.00 90.00
Fractional positions:
1 Pd 0.250 0.604 0.937
2 Pd 0.750 0.960 0.927
3 Pd 0.250 0.540 0.427
4 Pd 0.750 0.396 0.063
5 Pd 0.250 0.505 0.714
6 Pd 0.250 0.040 0.073
7 Pd 0.750 0.495 0.286
8 Pd 0.750 0.995 0.214
9 Pd 0.750 0.330 0.839
10 Pd 0.250 0.005 0.786
11 Pd 0.750 0.896 0.437
12 Pd 0.250 0.670 0.161
13 Pd 0.750 0.460 0.573
14 Pd 0.750 0.830 0.661
15 Pd 0.250 0.104 0.563
16 Pd 0.250 0.170 0.339
17 Ge 0.250 0.748 0.547
18 Ge 0.750 0.252 0.453
19 Ge 0.750 0.752 0.047
20 Ge 0.250 0.248 0.953
21 Zn 0.750 0.702 0.812
22 Zn 0.750 0.202 0.688
23 Zn 0.250 0.298 0.188
24 Zn 0.250 0.798 0.312

Results
energy of formation = -0.467 eV per atom
symmetry = Pnma
electronic total energy = -117.86 eV per cell
V = 361.8 Å³ per cell
energy relative to the lowest polymorph listed for this composition = 0 meV/atom

---

# 9
The following is a DFT calculation (PBE) of an optimized crystal structure of CaTe2Au.

Lattice parameters (Å, degrees): 5.292 5.292 4.561 75.97 75.97 103.00
Fractional positions:
1 Au 0.500 0.000 0.500
2 Te 0.500 0.500 0.000
3 Te 0.000 0.000 0.000
4 Ca 0.000 0.500 0.500

Results
symmetry = C2/m
electronic total energy = -13.88 eV per cell
V = 114.7 Å³ per cell
formation energy (no corrections) = -0.58 eV/atom

---

# 10
The following is a DFT calculation (PBE) of an optimized crystal structure of NdDy2Se.

Lattice parameters (Å, degrees): 3.808 3.808 9.820 78.82 78.82 60.00
Site moments in Bohr magnetons follow the coordinates.
Fractional positions:
1 Dy 0.269 0.269 0.192  0.06
2 Dy 0.064 0.064 0.807  0.09
3 Se 0.667 0.667 0.000  0.00
4 Nd 0.500 0.500 0.501  0.13

Results
symmetry = R3m
electronic total energy = -20.69 eV per cell
V = 120.2 Å³ per cell
energy relative to the lowest polymorph listed for this composition = 0 meV/atom
formation energy (no corrections) = -0.81 eV/atom

---

# 11
The following is a DFT calculation (PBE) of an optimized crystal structure of SnAsOsAuCl.

Lattice parameters (Å, degrees): 5.845 3.732 10.320 90.00 110.28 90.00
Fractional positions:
1 Sn 0.276 0.500 0.827
2 Sn 0.276 0.000 0.327
3 Au 0.935 0.000 0.055
4 Au 0.935 0.500 0.555
5 Cl 0.477 0.000 0.614
6 Cl 0.477 0.500 0.114
7 Os 0.912 0.000 0.760
8 Os 0.912 0.500 0.260
9 As 0.777 0.000 0.368
10 As 0.777 0.500 0.868

Results
symmetry = Cm
electronic total energy = -49.62 eV per cell
V = 211.2 Å³ per cell
energy relative to the lowest polymorph listed for this composition = 5 meV/atom
formation energy (no corrections) = 0.04 eV/atom

---

# 12
The following is a DFT calculation (PBE) of an optimized crystal structure of Ba6Hg5Au.

Lattice parameters (Å, degrees): 5.904 10.221 10.221 119.77 106.77 106.77
Fractional positions:
1 Hg 0.000 0.334 0.666
2 Hg 0.500 0.826 0.174
3 Hg 0.500 0.500 0.500
4 Hg 0.000 0.666 0.334
5 Hg 0.500 0.174 0.826
6 Ba 0.257 0.757 0.757
7 Ba 0.743 0.243 0.243
8 Ba 0.246 0.409 0.083
9 Ba 0.754 0.917 0.591
10 Ba 0.246 0.083 0.409
11 Ba 0.754 0.591 0.917
12 Au 0.000 0.000 0.000

Results
energy of formation = -0.543 eV per atom
symmetry = Immm
electronic total energy = -22.84 eV per cell
V = 437.9 Å³ per cell

---

Please write out number 4 again, unchanged.
The following is a DFT calculation (PBE) of an optimized crystal structure of Y2Zn3Ni2.

Lattice parameters (Å, degrees): 4.213 5.258 6.347 103.56 90.00 113.62
Fractional positions:
1 Ni 0.907 0.815 0.327
2 Ni 0.093 0.185 0.673
3 Y 0.382 0.764 0.653
4 Y 0.618 0.236 0.347
5 Zn 0.709 0.419 0.876
6 Zn 0.291 0.581 0.124
7 Zn 0.000 0.000 0.000

Results
energy of formation = -0.379 eV per atom
symmetry = C2/m
electronic total energy = -30.97 eV per cell
V = 124.5 Å³ per cell
energy relative to the lowest polymorph listed for this composition = 54 meV/atom